Entry 1:
DFT (PBE) results for a relaxed structure of Dy2Tm6Ni.

Properties
- E_tot: -4.533 eV per atom
- DOS at the Fermi energy: 11.12 states/eV/f.u.

Structure (CIF):
```
data_Dy2Tm6Ni
_symmetry_space_group_name_H-M 'C m m m'
_symmetry_Int_Tables_number 65
_symmetry_space_group_name_Hall '-C 2 2'
_cell_length_a 9.019
_cell_length_b 16.761
_cell_length_c 3.523
_cell_angle_alpha 90.00
_cell_angle_beta 90.00
_cell_angle_gamma 90.00
loop_
_atom_site_label
_atom_site_type_symbol
_atom_site_fract_x
_atom_site_fract_y
_atom_site_fract_z
Dy1 Dy 0.000 0.172 0.000
Tm1 Tm 0.170 0.336 0.500
Tm2 Tm 0.234 0.500 0.000
Ni1 Ni 0.000 0.500 0.500
```



Entry 2:
DFT (PBE) results for a relaxed structure of MnCo2Tc.

Properties
- E_tot: -8.284 eV per atom
- Polymorph energy (0 for the lowest one): 141.1 meV/atom
- DOS at the Fermi energy: 4.36 states/eV/f.u.

Structure (CIF):
```
data_MnCo2Tc
_symmetry_space_group_name_H-M 'F m -3 m'
_symmetry_Int_Tables_number 225
_symmetry_space_group_name_Hall '-F 4 2 3'
_cell_length_a 5.833
_cell_length_b 5.833
_cell_length_c 5.833
_cell_angle_alpha 90.00
_cell_angle_beta 90.00
_cell_angle_gamma 90.00
loop_
_atom_site_label
_atom_site_type_symbol
_atom_site_fract_x
_atom_site_fract_y
_atom_site_fract_z
Mn1 Mn 0.000 0.000 0.000
Co1 Co 0.250 0.250 0.250
Tc1 Tc 0.000 0.000 0.500
```



| no. | total magnetization (μB/cell) |
| --- | --- |
| 1 | 0.0 |
| 2 | 25.1 |